Record 1
Here is LaThTcPd after structural relaxation from Alexandria via LeMat-Bulk. Energies are from PBE.

Lattice parameters (Å, degrees): 5.100 5.100 5.100 60.00 60.00 60.00
Atoms (fractional coordinates):
1 Tc 0.500 0.500 0.500
2 Pd 0.000 0.000 0.000
3 Th 0.250 0.250 0.250
4 La 0.750 0.750 0.750

Output
VASP energy = -7.2621 eV/atom
spin magnetization = 0.00 Bohr magnetons per cell
space-group type = F-43m (216)
energy relative to the elements = -0.2855 eV per atom

---

Record 2
Here is LaTlTcPd2 after structural relaxation from Alexandria via LeMat-Bulk. Energies are from PBE.

Lattice parameters (Å, degrees): 5.228 4.965 5.228 90.00 90.00 90.00
Atoms (fractional coordinates):
1 Tl 0.500 0.500 0.500
2 Tc 0.000 0.500 0.000
3 Pd 0.000 0.000 0.500
4 Pd 0.500 0.000 0.000
5 La 0.000 0.000 0.000

Output
VASP energy = -4.6529 eV/atom
spin magnetization = 1.25 Bohr magnetons per cell
space-group type = P4/mmm (123)
energy relative to the elements = 0.9562 eV per atom

---

Record 3
Here is LaYTc2Pd after structural relaxation from Alexandria via LeMat-Bulk. Energies are from PBE.

Lattice parameters (Å, degrees): 4.937 5.106 4.937 90.00 90.00 90.00
Atoms (fractional coordinates):
1 Y 0.000 0.000 0.000
2 Tc 0.000 0.000 0.500
3 Tc 0.500 0.000 0.000
4 Pd 0.000 0.500 0.000
5 La 0.500 0.500 0.500

Output
VASP energy = -6.4367 eV/atom
spin magnetization = 2.52 Bohr magnetons per cell
space-group type = P4/mmm (123)
energy relative to the elements = 1.0265 eV per atom

---

Record 4
Here is LaTePd after structural relaxation from Alexandria via LeMat-Bulk. Energies are from PBE.

Lattice parameters (Å, degrees): 4.181 4.181 5.472 112.46 112.46 90.00
Atoms (fractional coordinates):
1 Te 0.965 0.965 0.931
2 Pd 0.269 0.269 0.539
3 La 0.615 0.615 0.230

Output
VASP energy = -5.3230 eV/atom
energy relative to the elements, uncorrected = -2.71 eV/f.u.
spin magnetization = 0.00 Bohr magnetons per cell
space-group type = I4mm (107)

---

Record 5
Here is La2Te2Pd after structural relaxation from Alexandria via LeMat-Bulk. Energies are from PBE.

Lattice parameters (Å, degrees): 8.201 8.201 4.311 90.00 90.00 90.00
Atoms (fractional coordinates):
1 Te 0.347 0.847 0.000
2 Te 0.847 0.653 0.000
3 Te 0.653 0.153 0.000
4 Te 0.153 0.347 0.000
5 Pd 0.000 0.000 0.000
6 Pd 0.500 0.500 0.000
7 La 0.158 0.658 0.500
8 La 0.658 0.842 0.500
9 La 0.842 0.342 0.500
10 La 0.342 0.158 0.500

Output
VASP energy = -5.3460 eV/atom
energy relative to the elements, uncorrected = -5.40 eV/f.u.
spin magnetization = 0.00 Bohr magnetons per cell
space-group type = P4/mbm (127)
energy relative to the lowest polymorph listed for this composition = 16.6 meV/atom

---

Record 6
Here is LaTe3Pd3 after structural relaxation from Alexandria via LeMat-Bulk. Energies are from PBE.

Lattice parameters (Å, degrees): 7.329 7.329 7.329 90.00 90.00 90.00
Atoms (fractional coordinates):
1 Te 0.250 0.000 0.500
2 Te 0.000 0.500 0.250
3 Te 0.500 0.750 0.000
4 Te 0.750 0.000 0.500
5 Te 0.000 0.500 0.750
6 Te 0.500 0.250 0.000
7 Pd 0.000 0.250 0.500
8 Pd 0.000 0.750 0.500
9 Pd 0.500 0.000 0.750
10 Pd 0.750 0.500 0.000
11 Pd 0.500 0.000 0.250
12 Pd 0.250 0.500 0.000
13 La 0.500 0.500 0.500
14 La 0.000 0.000 0.000

Output
VASP energy = -4.6946 eV/atom
energy relative to the elements, uncorrected = -2.93 eV/f.u.
spin magnetization = 0.38 Bohr magnetons per cell
space-group type = Pm-3n (223)

---

Record 7
Here is La2TePd after structural relaxation from Alexandria via LeMat-Bulk. Energies are from PBE.

Lattice parameters (Å, degrees): 8.053 8.053 6.961 54.66 54.66 90.00
Atoms (fractional coordinates):
1 Te 0.000 0.000 0.000
2 Te 0.750 0.250 0.500
3 Pd 0.500 0.500 0.000
4 Pd 0.250 0.750 0.500
5 La 0.590 0.125 0.250
6 La 0.160 0.625 0.250
7 La 0.375 0.410 0.750
8 La 0.875 0.840 0.750

Output
VASP energy = -5.4224 eV/atom
energy relative to the elements, uncorrected = -3.50 eV/f.u.
spin magnetization = 0.00 Bohr magnetons per cell
space-group type = I-42d (122)

---

Record 8
Here is La2TePd after structural relaxation from Alexandria via LeMat-Bulk. Energies are from PBE.

Lattice parameters (Å, degrees): 4.323 4.323 8.164 74.65 74.65 60.00
Atoms (fractional coordinates):
1 Te 0.500 0.500 0.500
2 Pd 0.000 0.000 0.000
3 La 0.260 0.260 0.219
4 La 0.740 0.740 0.781

Output
VASP energy = -5.6827 eV/atom
energy relative to the elements, uncorrected = -4.54 eV/f.u.
spin magnetization = 0.00 Bohr magnetons per cell
space-group type = R-3m (166)

---

Record 9
Here is La6Te5Pd after structural relaxation from Alexandria via LeMat-Bulk. Energies are from PBE.

Lattice parameters (Å, degrees): 7.868 7.897 7.867 59.87 80.27 70.33
Atoms (fractional coordinates):
1 Te 0.500 0.176 0.647
2 Te 0.000 0.336 0.328
3 Te 0.500 0.500 0.000
4 Te 0.000 0.664 0.672
5 Te 0.500 0.824 0.353
6 Pd 0.000 0.000 0.000
7 La 0.763 0.077 0.318
8 La 0.237 0.605 0.318
9 La 0.248 0.237 0.000
10 La 0.752 0.763 0.000
11 La 0.763 0.395 0.682
12 La 0.237 0.923 0.682

Output
VASP energy = -5.6518 eV/atom
energy relative to the elements, uncorrected = -17.36 eV/f.u.
spin magnetization = 0.00 Bohr magnetons per cell
space-group type = C2/m (12)

---

Record 10
Here is La2TePd2 after structural relaxation from Alexandria via LeMat-Bulk. Energies are from PBE.

Lattice parameters (Å, degrees): 5.702 5.702 5.782 60.46 60.46 90.00
Atoms (fractional coordinates):
1 Te 0.000 0.000 0.000
2 Pd 0.345 0.345 0.309
3 Pd 0.655 0.655 0.691
4 La 0.750 0.250 0.500
5 La 0.250 0.750 0.500

Output
VASP energy = -5.5480 eV/atom
energy relative to the elements, uncorrected = -4.36 eV/f.u.
spin magnetization = 0.00 Bohr magnetons per cell
space-group type = I4/mmm (139)
energy relative to the lowest polymorph listed for this composition = 195.4 meV/atom

---

Record 11
Here is LaTe2Pd4 after structural relaxation from Alexandria via LeMat-Bulk. Energies are from PBE.

Lattice parameters (Å, degrees): 4.413 8.076 8.076 90.00 90.00 90.00
Atoms (fractional coordinates):
1 La 0.500 0.000 0.000
2 La 0.000 0.500 0.500
3 Te 0.000 0.216 0.784
4 Te 0.000 0.784 0.216
5 Te 0.500 0.716 0.716
6 Te 0.500 0.284 0.284
7 Pd 0.000 0.098 0.352
8 Pd 0.000 0.902 0.648
9 Pd 0.500 0.148 0.598
10 Pd 0.500 0.852 0.402
11 Pd 0.500 0.402 0.852
12 Pd 0.500 0.598 0.148
13 Pd 0.000 0.352 0.098
14 Pd 0.000 0.648 0.902

Output
VASP energy = -5.3181 eV/atom
energy relative to the elements, uncorrected = -5.24 eV/f.u.
spin magnetization = 0.00 Bohr magnetons per cell
space-group type = P4_2/mnm (136)

---

Record 12
Here is LaTePd after structural relaxation from Alexandria via LeMat-Bulk. Energies are from PBE.

Lattice parameters (Å, degrees): 4.351 5.549 6.961 98.28 108.21 90.00
Atoms (fractional coordinates):
1 La 0.124 0.806 0.249
2 La 0.876 0.194 0.751
3 Te 0.401 0.737 0.802
4 Te 0.599 0.263 0.198
5 Pd 0.242 0.331 0.485
6 Pd 0.758 0.669 0.515

Output
VASP energy = -5.4410 eV/atom
energy relative to the elements, uncorrected = -3.06 eV/f.u.
spin magnetization = 0.00 Bohr magnetons per cell
space-group type = C2/m (12)

---

Record 13
Here is La2TePd after structural relaxation from Alexandria via LeMat-Bulk. Energies are from PBE.

Lattice parameters (Å, degrees): 3.848 3.848 7.506 90.00 90.00 90.00
Atoms (fractional coordinates):
1 Te 0.500 0.500 0.500
2 Pd 0.500 0.500 0.000
3 La 0.000 0.000 0.769
4 La 0.000 0.000 0.231

Output
VASP energy = -5.5691 eV/atom
energy relative to the elements, uncorrected = -4.09 eV/f.u.
spin magnetization = 0.00 Bohr magnetons per cell
space-group type = P4/mmm (123)

---

Record 14
Here is La4Te8Pd3 after structural relaxation from Alexandria via LeMat-Bulk. Energies are from PBE.

Lattice parameters (Å, degrees): 4.582 4.582 19.645 90.00 90.00 90.00
Atoms (fractional coordinates):
1 La 0.500 0.000 0.376
2 La 0.500 0.000 0.883
3 La 0.000 0.500 0.117
4 La 0.000 0.500 0.624
5 Te 0.500 0.000 0.075
6 Te 0.500 0.000 0.583
7 Te 0.000 0.500 0.417
8 Te 0.000 0.500 0.925
9 Te 0.500 0.500 0.246
10 Te 0.500 0.500 0.754
11 Te 0.000 0.000 0.246
12 Te 0.000 0.000 0.754
13 Pd 0.500 0.500 0.500
14 Pd 0.000 0.000 0.000
15 Pd 0.000 0.000 0.500

Output
VASP energy = -5.1952 eV/atom
energy relative to the elements, uncorrected = -17.51 eV/f.u.
spin magnetization = 0.00 Bohr magnetons per cell
space-group type = P-4m2 (115)

---

Record 15
Here is La2TePd2 after structural relaxation from Alexandria via LeMat-Bulk. Energies are from PBE.

Lattice parameters (Å, degrees): 7.959 7.959 3.983 90.00 90.00 90.00
Atoms (fractional coordinates):
1 Te 0.000 0.000 0.000
2 Te 0.500 0.500 0.000
3 Pd 0.377 0.877 0.000
4 Pd 0.877 0.623 0.000
5 Pd 0.623 0.123 0.000
6 Pd 0.123 0.377 0.000
7 La 0.179 0.679 0.500
8 La 0.679 0.821 0.500
9 La 0.821 0.321 0.500
10 La 0.321 0.179 0.500

Output
VASP energy = -5.7433 eV/atom
energy relative to the elements, uncorrected = -5.33 eV/f.u.
spin magnetization = 0.00 Bohr magnetons per cell
space-group type = P4/mbm (127)
energy relative to the lowest polymorph listed for this composition = 0.0 meV/atom

---

Record 16
Here is La3Te12Pd5 after structural relaxation from Alexandria via LeMat-Bulk. Energies are from PBE.

Lattice parameters (Å, degrees): 14.807 14.807 14.807 109.47 109.47 109.47
Atoms (fractional coordinates):
1 La 0.750 0.375 0.125
2 La 0.875 0.750 0.125
3 La 0.375 0.750 0.625
4 La 0.250 0.125 0.375
5 La 0.875 0.125 0.250
6 La 0.375 0.625 0.250
7 La 0.625 0.375 0.750
8 La 0.125 0.875 0.750
9 La 0.750 0.875 0.625
10 La 0.625 0.250 0.375
11 La 0.125 0.250 0.875
12 La 0.250 0.625 0.875
13 Pd 0.125 0.375 0.250
14 Pd 0.000 0.500 0.000
15 Pd 0.000 0.000 0.000
16 Pd 0.375 0.250 0.125
17 Pd 0.500 0.000 0.500
18 Pd 0.500 0.500 0.000
19 Pd 0.125 0.750 0.375
20 Pd 0.750 0.125 0.875
21 Pd 0.750 0.625 0.375
22 Pd 0.375 0.125 0.750
23 Pd 0.625 0.875 0.250
24 Pd 0.500 0.500 0.500
25 Pd 0.500 0.000 0.000
26 Pd 0.000 0.000 0.500
27 Pd 0.250 0.375 0.625
28 Pd 0.250 0.875 0.125
29 Pd 0.000 0.500 0.500
30 Pd 0.875 0.250 0.625
31 Pd 0.625 0.750 0.875
32 Pd 0.875 0.625 0.750
33 Te 0.704 0.119 0.031
34 Te 0.327 0.531 0.412
35 Te 0.969 0.381 0.296
36 Te 0.531 0.204 0.119
37 Te 0.585 0.704 0.673
38 Te 0.969 0.588 0.173
39 Te 0.327 0.796 0.415
40 Te 0.088 0.915 0.119
41 Te 0.588 0.969 0.673
42 Te 0.704 0.585 0.173
43 Te 0.796 0.469 0.381
44 Te 0.827 0.912 0.031
45 Te 0.119 0.704 0.531
46 Te 0.381 0.412 0.085
47 Te 0.085 0.912 0.381
48 Te 0.415 0.119 0.588
49 Te 0.085 0.173 0.204
50 Te 0.469 0.673 0.088
51 Te 0.827 0.915 0.296
52 Te 0.119 0.415 0.088
53 Te 0.381 0.969 0.796
54 Te 0.588 0.619 0.415
55 Te 0.912 0.827 0.531
56 Te 0.796 0.327 0.915
57 Te 0.412 0.381 0.585
58 Te 0.088 0.173 0.469
59 Te 0.204 0.673 0.085
60 Te 0.173 0.085 0.704
61 Te 0.619 0.031 0.204
62 Te 0.881 0.585 0.912
63 Te 0.531 0.327 0.912
64 Te 0.585 0.881 0.412
65 Te 0.915 0.827 0.796
66 Te 0.915 0.088 0.619
67 Te 0.881 0.296 0.469
68 Te 0.173 0.088 0.969
69 Te 0.619 0.588 0.915
70 Te 0.412 0.031 0.327
71 Te 0.296 0.415 0.827
72 Te 0.204 0.531 0.619
73 Te 0.912 0.085 0.881
74 Te 0.673 0.204 0.585
75 Te 0.469 0.796 0.881
76 Te 0.031 0.412 0.827
77 Te 0.415 0.296 0.327
78 Te 0.031 0.619 0.704
79 Te 0.673 0.469 0.588
80 Te 0.296 0.881 0.969

Output
VASP energy = -4.5594 eV/atom
energy relative to the elements, uncorrected = -12.74 eV/f.u.
spin magnetization = 0.00 Bohr magnetons per cell
space-group type = Ia-3d (230)

---

Record 17
Here is La2TePd2 after structural relaxation from Alexandria via LeMat-Bulk. Energies are from PBE.

Lattice parameters (Å, degrees): 4.029 4.029 8.703 76.61 76.61 90.00
Atoms (fractional coordinates):
1 Te 0.000 0.000 0.000
2 Pd 0.750 0.250 0.500
3 Pd 0.250 0.750 0.500
4 La 0.381 0.381 0.239
5 La 0.619 0.619 0.761

Output
VASP energy = -5.6634 eV/atom
energy relative to the elements, uncorrected = -4.93 eV/f.u.
spin magnetization = 0.00 Bohr magnetons per cell
space-group type = I4/mmm (139)
energy relative to the lowest polymorph listed for this composition = 79.9 meV/atom

---

Record 18
Here is LaTePd4 after structural relaxation from Alexandria via LeMat-Bulk. Energies are from PBE.

Lattice parameters (Å, degrees): 5.510 5.510 5.510 60.00 60.00 60.00
Atoms (fractional coordinates):
1 Te 0.250 0.250 0.250
2 Pd 0.626 0.626 0.123
3 Pd 0.626 0.123 0.626
4 Pd 0.626 0.626 0.626
5 Pd 0.123 0.626 0.626
6 La 0.000 0.000 0.000

Output
VASP energy = -5.3842 eV/atom
energy relative to the elements, uncorrected = -3.46 eV/f.u.
spin magnetization = 0.00 Bohr magnetons per cell
space-group type = F-43m (216)

---

Record 19
Here is La3TePd after structural relaxation from Alexandria via LeMat-Bulk. Energies are from PBE.

Lattice parameters (Å, degrees): 5.663 5.663 5.663 90.00 90.00 90.00
Atoms (fractional coordinates):
1 Te 0.500 0.500 0.500
2 Pd 0.000 0.000 0.000
3 La 0.000 0.500 0.000
4 La 0.000 0.000 0.500
5 La 0.500 0.000 0.000

Output
VASP energy = -5.1393 eV/atom
energy relative to the elements, uncorrected = -2.58 eV/f.u.
spin magnetization = 0.00 Bohr magnetons per cell
space-group type = Pm-3m (221)
energy relative to the lowest polymorph listed for this composition = 0.0 meV/atom

---

Record 20
Here is La2Te3Pd after structural relaxation from Alexandria via LeMat-Bulk. Energies are from PBE.

Lattice parameters (Å, degrees): 4.521 12.334 12.768 90.00 90.00 90.00
Atoms (fractional coordinates):
1 La 0.250 0.687 0.468
2 La 0.750 0.313 0.532
3 La 0.750 0.187 0.032
4 La 0.250 0.813 0.968
5 La 0.250 0.988 0.298
6 La 0.750 0.012 0.702
7 La 0.750 0.488 0.202
8 La 0.250 0.512 0.798
9 Te 0.250 0.379 0.042
10 Te 0.750 0.621 0.958
11 Te 0.750 0.879 0.458
12 Te 0.250 0.121 0.542
13 Te 0.250 0.682 0.201
14 Te 0.750 0.318 0.799
15 Te 0.750 0.182 0.299
16 Te 0.250 0.818 0.701
17 Te 0.250 0.434 0.384
18 Te 0.750 0.566 0.616
19 Te 0.750 0.934 0.116
20 Te 0.250 0.066 0.884
21 Pd 0.250 0.255 0.215
22 Pd 0.750 0.745 0.785
23 Pd 0.750 0.755 0.285
24 Pd 0.250 0.245 0.715

Output
VASP energy = -5.4794 eV/atom
energy relative to the elements, uncorrected = -8.40 eV/f.u.
spin magnetization = 0.00 Bohr magnetons per cell
space-group type = Pnma (62)

---

Record 21
Here is La2Te2Pd after structural relaxation from Alexandria via LeMat-Bulk. Energies are from PBE.

Lattice parameters (Å, degrees): 4.403 4.403 8.577 75.13 75.13 90.00
Atoms (fractional coordinates):
1 Te 0.750 0.250 0.500
2 Te 0.250 0.750 0.500
3 Pd 0.000 0.000 0.000
4 La 0.401 0.401 0.198
5 La 0.599 0.599 0.802

Output
VASP energy = -4.8256 eV/atom
energy relative to the elements, uncorrected = -2.80 eV/f.u.
spin magnetization = 0.00 Bohr magnetons per cell
space-group type = I4/mmm (139)
energy relative to the lowest polymorph listed for this composition = 536.9 meV/atom